No. 1
Density functional theory data (GGA-PBE) for a relaxed structure of Sm2Dy3Se4.

Its formation energy from raw total energies is -1.5519 eV per atom. Its crystal system is monoclinic. As for the energy: -51.15 eV per cell.

a b c (Å): 7.030 7.030 9.939
angles (deg): 117.74 117.74 33.36
Element x y z (fractional)
Sm: 0.094 0.094 0.405
Sm: 0.906 0.906 0.595
Dy: 0.299 0.299 0.207
Dy: 0.500 0.500 0.000
Dy: 0.701 0.701 0.793
Se: 0.106 0.106 0.907
Se: 0.304 0.304 0.701
Se: 0.696 0.696 0.299
Se: 0.894 0.894 0.093



No. 2
Density functional theory data (GGA-PBE) for a relaxed structure of TbCu4Bi.

Its crystal system is cubic. The calculation puts the formation enthalpy at 0 K at -0.7 eV per formula unit. As for the energy: -25.61 eV per cell.

a b c (Å): 5.276 5.276 5.276
angles (deg): 60.00 60.00 60.00
Element x y z (fractional)
Tb: 0.000 0.000 0.000
Cu: 0.374 0.374 0.374
Cu: 0.374 0.374 0.877
Cu: 0.374 0.877 0.374
Cu: 0.877 0.374 0.374
Bi: 0.750 0.750 0.750



No. 3
Density functional theory data (GGA-PBE) for a relaxed structure of SrCaSi2.

Its formation energy from raw total energies is -0.4947 eV per atom. Its crystal system is orthorhombic. The excess energy over the best structure of this formula in the dataset is 0.000 eV/atom. As for the energy: -33.02 eV per cell.

a b c (Å): 3.981 4.673 11.112
angles (deg): 90.00 90.00 90.00
Element x y z (fractional)
Sr: 0.000 0.000 0.000
Sr: 0.000 0.500 0.500
Ca: 0.500 0.000 0.276
Ca: 0.500 0.500 0.776
Si: 0.000 0.000 0.711
Si: 0.000 0.500 0.211
Si: 0.500 0.000 0.579
Si: 0.500 0.500 0.079



No. 4
Density functional theory data (GGA-PBE) for a relaxed structure of LaAl2PdAu2.

Its crystal system is tetragonal. The calculation puts the formation enthalpy at 0 K at -3.2 eV per formula unit. As for the energy: -27.37 eV per cell.

a b c (Å): 4.708 4.708 5.886
angles (deg): 90.00 90.00 90.00
Element x y z (fractional)
La: 0.000 0.000 0.000
Al: 0.000 0.500 0.500
Al: 0.500 0.000 0.500
Pd: 0.000 0.000 0.500
Au: 0.500 0.500 0.234
Au: 0.500 0.500 0.766



No. 5
Density functional theory data (GGA-PBE) for a relaxed structure of CeSm4Ru2.

Its crystal system is monoclinic. The calculation puts the formation enthalpy at 0 K at -0.8 eV per formula unit. As for the energy: -88.40 eV per cell.

a b c (Å): 7.819 6.486 7.829
angles (deg): 90.00 109.36 90.00
Element x y z (fractional)
Ce: 0.135 0.250 0.365
Ce: 0.865 0.750 0.635
Sm: 0.066 0.750 0.085
Sm: 0.306 0.000 0.805
Sm: 0.306 0.500 0.805
Sm: 0.416 0.750 0.436
Sm: 0.584 0.250 0.564
Sm: 0.694 0.000 0.195
Sm: 0.694 0.500 0.195
Sm: 0.934 0.250 0.915
Ru: 0.060 0.750 0.440
Ru: 0.318 0.250 0.180
Ru: 0.682 0.750 0.820
Ru: 0.940 0.250 0.560



No. 6
Density functional theory data (GGA-PBE) for a relaxed structure of NbPdS3.

Its formation energy from raw total energies is 0.5443 eV per atom. Its crystal system is cubic. The excess energy over the best structure of this formula in the dataset is 1.009 eV/atom. As for the energy: -24.92 eV per cell.

a b c (Å): 4.614 4.614 4.614
angles (deg): 90.00 90.00 90.00
Element x y z (fractional)
Nb: 0.000 0.000 0.000
Pd: 0.500 0.500 0.500
S: 0.000 0.500 0.500
S: 0.500 0.000 0.500
S: 0.500 0.500 0.000



No. 7
Density functional theory data (GGA-PBE) for a relaxed structure of CuSeNO2.

Its formation energy from raw total energies is 0.9243 eV per atom. Its crystal system is tetragonal. As for the energy: -21.20 eV per cell.

a b c (Å): 3.717 3.717 3.897
angles (deg): 90.00 90.00 90.00
Element x y z (fractional)
Cu: 0.000 0.000 0.000
Se: 0.500 0.500 0.500
N: 0.000 0.000 0.500
O: 0.000 0.500 0.000
O: 0.500 0.000 0.000



No. 8
Density functional theory data (GGA-PBE) for a relaxed structure of Ac2ZnS.

Its formation energy from raw total energies is -0.8414 eV per atom. Its crystal system is tetragonal. The excess energy over the best structure of this formula in the dataset is 0.179 eV/atom. As for the energy: -16.98 eV per cell.

a b c (Å): 5.509 5.509 3.657
angles (deg): 90.00 90.00 90.00
Element x y z (fractional)
Ac: 0.000 0.500 0.000
Ac: 0.500 0.000 0.000
Zn: 0.000 0.000 0.500
S: 0.500 0.500 0.500



no.,size of the total moment (Bohr magnetons per cell)
1,0.00
2,0.00
3,0.00
4,0.00
5,0.00
6,1.58
7,0.16
8,0.00